DFT (PBE with a Hubbard U) results for crystalline NiHgN2F at its relaxed geometry.

**SG**: P4/mmm
**Distance to the lowest polymorph of the same formula**: 748 meV per atom

Cell: 4.1756 4.1756 4.6098 Å, 90.00 90.00 90.00°
Fractional coordinates of all 5 atoms:
Ni1 0.0000 0.0000 0.0000
Hg1 0.5000 0.5000 0.5000
N1 0.0000 0.5000 0.5000
N2 0.5000 0.0000 0.5000
F1 0.5000 0.5000 0.0000